1.
Os2WBr: optimized geometry, PBE.

## Properties
As for the magnetization: 0.0 Bohr magnetons per cell. For the formation energy without anion corrections, the calculation gives 1.37 eV per atom. The calculation puts the offset from the most stable computed form at 64.1 kJ per mole of atoms.

a = 4.507 Å, b = 4.507 Å, c = 4.507 Å
α = 60.00°, β = 60.00°, γ = 60.00°
Fractional coordinates of all 4 atoms:
Os 0.250 0.250 0.250
Os 0.750 0.750 0.750
W 0.500 0.500 0.500
Br 0.000 0.000 0.000



2.
OsW2Br: optimized geometry, PBE.

## Properties
As for the magnetization: 0.0 Bohr magnetons per cell. For the formation energy without anion corrections, the calculation gives 1.10 eV per atom. The calculation puts the offset from the most stable computed form at 46.2 kJ per mole of atoms.

a = 4.502 Å, b = 4.502 Å, c = 4.502 Å
α = 60.00°, β = 60.00°, γ = 60.00°
Fractional coordinates of all 4 atoms:
W 0.750 0.750 0.750
W 0.250 0.250 0.250
Br 0.000 0.000 0.000
Os 0.500 0.500 0.500



3.
ZrOsW2Br: optimized geometry, PBE.

## Properties
As for the magnetization: 0.0 Bohr magnetons per cell. For the formation energy without anion corrections, the calculation gives 1.71 eV per atom.

a = 4.604 Å, b = 4.589 Å, c = 4.604 Å
α = 90.00°, β = 90.00°, γ = 90.00°
Fractional coordinates of all 5 atoms:
Br 0.000 0.000 0.000
Os 0.000 0.500 0.000
Zr 0.500 0.500 0.500
W 0.500 0.000 0.000
W 0.000 0.000 0.500



4.
Y2OsBr: optimized geometry, PBE.

## Properties
As for the magnetization: 0.0 Bohr magnetons per cell. For the formation energy without anion corrections, the calculation gives -0.59 eV per atom. The calculation puts the offset from the most stable computed form at 12.3 kJ per mole of atoms.

a = 4.014 Å, b = 4.014 Å, c = 7.971 Å
α = 75.46°, β = 75.46°, γ = 60.36°
Fractional coordinates of all 4 atoms:
Br 0.750 0.750 0.750
Y 0.520 0.520 0.446
Y 0.980 0.980 0.054
Os 0.250 0.250 0.250



5.
YOsBr2: optimized geometry, PBE.

## Properties
As for the magnetization: 0.0 Bohr magnetons per cell. For the formation energy without anion corrections, the calculation gives 0.18 eV per atom. The calculation puts the offset from the most stable computed form at 45.6 kJ per mole of atoms.

a = 3.399 Å, b = 5.536 Å, c = 4.545 Å
α = 90.00°, β = 90.00°, γ = 90.00°
Fractional coordinates of all 4 atoms:
Br 0.000 0.000 0.000
Br 0.500 0.500 0.000
Y 0.000 0.500 0.500
Os 0.500 0.000 0.500



6.
YOsBr2: optimized geometry, PBE.

## Properties
As for the magnetization: 2.9 Bohr magnetons per cell. For the formation energy without anion corrections, the calculation gives 0.48 eV per atom. The calculation puts the offset from the most stable computed form at 74.4 kJ per mole of atoms.

a = 3.404 Å, b = 3.985 Å, c = 6.569 Å
α = 90.00°, β = 90.00°, γ = 90.00°
Last column: magnetic moment on the atom in μB.
Fractional coordinates of all 4 atoms:
Br 0.000 0.000 0.508  0.09
Br 0.000 0.000 0.992  0.09
Os 0.500 0.500 0.250  2.35
Y 0.500 0.500 0.750  -0.01